--- one ---
Tb5Pm2Y12: optimized geometry, PBE.

Computed properties:
Symmetry: C2/m, No. 12

a b c (Å): 9.363 12.371 8.641
angles (deg): 132.68 90.00 112.24
Positions (direct):
Y  0.972  0.302  0.063
Tb  0.297  0.594  0.612
Tb  0.230  0.460  0.887
Y  0.180  0.742  0.403
Y  0.080  0.160  0.285
Y  0.820  0.258  0.597
Pm  0.325  0.000  0.000
Y  0.028  0.698  0.937
Y  0.438  0.258  0.597
Tb  0.703  0.406  0.388
Tb  0.770  0.540  0.113
Y  0.442  0.884  0.216
Y  0.330  0.302  0.063
Tb  0.000  0.000  0.500
Pm  0.675  0.000  0.000
Y  0.558  0.116  0.784
Y  0.562  0.742  0.403
Y  0.920  0.840  0.715
Y  0.670  0.698  0.937



--- two ---
Tb5Pm2Y12: optimized geometry, PBE.

Computed properties:
Symmetry: P-1, No. 2

a b c (Å): 6.762 11.693 11.436
angles (deg): 135.01 87.65 100.23
Positions (direct):
Y  0.891  0.308  0.531
Tb  0.000  0.000  0.500
Y  0.162  0.443  0.857
Tb  0.656  0.384  0.315
Tb  0.344  0.616  0.685
Tb  0.457  0.818  0.280
Tb  0.543  0.182  0.720
Pm  0.879  0.736  0.750
Pm  0.121  0.264  0.250
Y  0.662  0.571  0.884
Y  0.348  0.024  0.891
Y  0.384  0.219  0.466
Y  0.338  0.429  0.116
Y  0.117  0.853  0.089
Y  0.109  0.692  0.469
Y  0.883  0.147  0.911
Y  0.838  0.557  0.143
Y  0.616  0.781  0.534
Y  0.652  0.976  0.109



Which structure above is the least stable one? one is the least stable one.